The following is a PBE calculation of a relaxed structure of RbZrAsBr2, from Alexandria.

a = 5.558 Å, b = 5.558 Å, c = 5.212 Å
α = 90.00°, β = 90.00°, γ = 90.00°
Element x y z (fractional)
1 Rb 0.000 0.000 0.000
2 Zr 0.500 0.500 0.500
3 As 0.500 0.500 0.000
4 Br 0.000 0.500 0.500
5 Br 0.500 0.000 0.500

Results
energy relative to the lowest polymorph listed for this composition = 0 meV per atom
density of states at the Fermi level = 1.4 states/eV/f.u.
total energy = -4.483 eV per atom
ΔE_f (raw) = -981.2 meV/atom